# 1
DFT (GGA-PBE) results for a relaxed structure of LiNbTlS3.

It has space group Cmcm (No. 63), with a = 3.5638 Å, b = 14.0696 Å, c = 9.8136 Å, α = 90.00°, β = 90.00° and γ = 90.00°. The distinct sites, in fractional coordinates, are Li at (0.0000, 0.0588, 0.2500), Nb at (0.0000, 0.5000, 0.0000), Tl at (0.0000, 0.2269, 0.7500), S at (0.0000, 0.1239, 0.0346) and S at (0.0000, 0.4529, 0.2500).

As for the spin magnetization: 0.0719 μB/atom. For the total energy, the calculation gives -127.3 eV for the cell shown.


# 2
DFT (GGA-PBE) results for a relaxed structure of Li2NbZnS4.

It has space group Pc (No. 7), with a = 6.3559 Å, b = 6.7879 Å, c = 10.1549 Å, α = 90.00°, β = 128.64° and γ = 90.00°. The distinct sites, in fractional coordinates, are Li at (0.0000, 0.1619, 0.0000), Li at (0.7479, 0.3349, 0.2462), Nb at (0.4973, 0.1702, 0.4959), Zn at (0.2527, 0.3263, 0.7489), S at (0.1450, 0.3437, 0.2568), S at (0.3840, 0.1602, 0.9941), S at (0.6157, 0.3234, 0.7413) and S at (0.8749, 0.1783, 0.5033).

As for the spin magnetization: 0.1246 μB/atom. For the total energy, the calculation gives -78.6 eV for the cell shown.